## CaPuRh (PBE)

Data for a relaxed CaPuRh crystal.

Unit cell a=3.4216 b=3.4216 c=6.9120 alpha=104.33 beta=104.33 gamma=90.00
With the nearest neighbours (Å) after each atom.
Sites, in units of the cell vectors:
Ca1 0.0296 0.0296 0.0591  4 Rh 3.07, 4 Ca 3.42, 1 Pu 3.43
Rh1 0.6761 0.6761 0.3521  4 Pu 2.86, 4 Ca 3.07
Pu1 0.2944 0.2944 0.5887  4 Rh 2.86

Polymorph energy (0 for the lowest one): 203 meV per atom
Formation energy: -222 meV per atom
Electronic total energy: -8.1173 eV per atom
Mass density: 8.48 g/cm³